--- 1 ---
Below is a geometry-optimized TbSmDy2 structure, with properties calculated at the PBE level.

Cell: 3.565 3.565 10.095 Å, 90.00 90.00 90.00°
Element x y z (fractional)
1 Tb 0.500 0.500 0.500
2 Dy 0.000 0.000 0.748
3 Dy 0.000 0.000 0.252
4 Sm 0.500 0.500 0.000

Output
- ρ: 8.2 g cm⁻³
- Magnetic moment: 0.00 μB/cell
- Symmetry: P4/mmm (123)



--- 2 ---
Below is a geometry-optimized TbSmDy2 structure, with properties calculated at the PBE level.

Cell: 5.686 5.686 5.686 Å, 60.00 60.00 60.00°
Element x y z (fractional)
1 Sm 0.500 0.500 0.500
2 Tb 0.000 0.000 0.000
3 Dy 0.250 0.250 0.250
4 Dy 0.750 0.750 0.750

Output
- ρ: 8.1 g cm⁻³
- Magnetic moment: 0.00 μB/cell
- Symmetry: Fm-3m (225)



Most stable pick: 1. Distance to second place: 12.0 kJ/mol of atoms.